(1)
{
  "formula": "La2PrBrO4",
  "functional": "PBE-GGA",
  "state": "relaxed",
  "cell": [[-3.8036, 0.9490, 1.2263], [0.1290, -3.0434, 2.7555], [3.6077, 6.0474, 6.5102]],
  "species": ["Br", "O", "O", "O", "O", "Pr", "La", "La"],
  "frac_coords": [[0.0000, 0.0000, 0.5000], [0.5000, 0.0000, 0.1531], [0.0000, 0.5000, 0.8469], [0.5000, 0.0000, 0.8469], [0.0000, 0.5000, 0.1531], [0.0000, 0.0000, 0.0000], [0.5000, 0.5000, 0.2604], [0.5000, 0.5000, 0.7396]],
  "n_ef_per_ev_cell": 0.0
}

(2)
{
  "formula": "Rb2LaBr6O",
  "functional": "PBE-GGA",
  "state": "relaxed",
  "cell": [[8.8263, 0.0000, 0.0000], [0.0000, 8.8263, 0.0000], [4.4131, 4.4131, 5.0337]],
  "species": ["Rb", "Rb", "Br", "Br", "Br", "Br", "Br", "Br", "La", "O"],
  "frac_coords": [[0.7500, 0.2500, 0.5000], [0.2500, 0.7500, 0.5000], [0.2948, 0.2948, 0.4104], [0.7679, 0.2321, 0.0000], [0.2321, 0.2321, 0.0000], [0.7052, 0.7052, 0.5896], [0.7679, 0.7679, 0.0000], [0.2321, 0.7679, 0.0000], [0.0000, 0.0000, 0.0000], [0.5000, 0.5000, 0.0000]],
  "n_ef_per_ev_cell": 16.1
}

(3)
{
  "formula": "LaRhBrO2",
  "functional": "PBE-GGA",
  "state": "relaxed",
  "cell": [[4.1049, 0.0000, 0.0000], [0.0000, 5.4923, 0.0000], [0.0000, 0.0000, 4.1049]],
  "species": ["La", "Rh", "O", "O", "Br"],
  "frac_coords": [[0.0000, 0.5000, 0.0000], [0.0000, 0.0000, 0.0000], [0.0000, 0.0000, 0.5000], [0.5000, 0.0000, 0.0000], [0.5000, 0.5000, 0.5000]],
  "n_ef_per_ev_cell": 3.0
}

(4)
{
  "formula": "La8Rh3Br4O",
  "functional": "PBE-GGA",
  "state": "relaxed",
  "cell": [[-7.3264, -3.0875, -1.7761], [4.0145, -6.7444, -4.8356], [2.3325, 0.7394, 7.7754]],
  "species": ["Rh", "Rh", "Rh", "La", "La", "La", "La", "La", "La", "La", "La", "Br", "Br", "Br", "Br", "O"],
  "frac_coords": [[0.5000, 0.5000, 0.0000], [0.5000, 0.5000, 0.5000], [0.0000, 0.5000, 0.5000], [0.2466, 0.3054, 0.0260], [0.7328, 0.6980, 0.4656], [0.2207, 0.6945, 0.4414], [0.7794, 0.3054, 0.0260], [0.2672, 0.3020, 0.5344], [0.7793, 0.3055, 0.5586], [0.2206, 0.6946, 0.9740], [0.7534, 0.6946, 0.9740], [0.0000, 0.0000, 0.5000], [0.0000, 0.0000, 0.0000], [0.5000, 0.0000, 0.0000], [0.5000, 0.0000, 0.5000], [0.0000, 0.5000, 0.0000]],
  "n_ef_per_ev_cell": 11.5
}

(5)
{
  "formula": "LaRuBrO4",
  "functional": "PBE-GGA",
  "state": "relaxed",
  "cell": [[-0.6209, -3.9345, 5.2661], [-1.5128, -6.1589, -1.8374], [6.4034, -3.2109, 0.2015]],
  "species": ["O", "O", "O", "O", "O", "O", "O", "O", "Ru", "Ru", "Br", "Br", "La", "La"],
  "frac_coords": [[0.4854, 0.1325, 0.1362], [0.2883, 0.2883, 0.5199], [0.7117, 0.7117, 0.4801], [0.1325, 0.4854, 0.1362], [0.5146, 0.8675, 0.8638], [0.5316, 0.5316, 0.2296], [0.8675, 0.5146, 0.8638], [0.4684, 0.4684, 0.7704], [0.3650, 0.3650, 0.2723], [0.6350, 0.6350, 0.7277], [0.9849, 0.9849, 0.7541], [0.0151, 0.0151, 0.2459], [0.2289, 0.2289, 0.8808], [0.7711, 0.7711, 0.1192]],
  "n_ef_per_ev_cell": 0.8
}

(6)
{
  "formula": "La6Ru2Br3O",
  "functional": "PBE-GGA",
  "state": "relaxed",
  "cell": [[-2.7024, 5.0281, -4.0369], [1.7114, -6.1824, -2.7804], [-6.9449, -2.3121, 3.7674]],
  "species": ["Ru", "Ru", "La", "La", "La", "La", "La", "La", "Br", "Br", "Br", "O"],
  "frac_coords": [[0.3342, 0.6658, 0.0000], [0.6658, 0.3342, 0.0000], [0.9356, 0.6149, 0.8096], [0.3851, 0.0644, 0.1904], [0.7446, 0.7446, 0.1917], [0.0644, 0.3851, 0.1904], [0.6149, 0.9356, 0.8096], [0.2554, 0.2554, 0.8083], [0.1729, 0.8271, 0.5000], [0.5000, 0.5000, 0.5000], [0.8271, 0.1729, 0.5000], [0.0000, 0.0000, 0.0000]],
  "n_ef_per_ev_cell": 8.3
}

(7)
{
  "formula": "LaSBrO4",
  "functional": "PBE-GGA",
  "state": "relaxed",
  "cell": [[6.3011, 0.0345, -0.2144], [2.1197, 5.9340, -0.2144], [1.4867, 1.0537, 6.5277]],
  "species": ["O", "O", "O", "O", "O", "O", "O", "O", "Br", "Br", "La", "La", "S", "S"],
  "frac_coords": [[0.4860, 0.1581, 0.1501], [0.7029, 0.7029, 0.5268], [0.8419, 0.5140, 0.8499], [0.4895, 0.4895, 0.7664], [0.5140, 0.8419, 0.8499], [0.2971, 0.2971, 0.4732], [0.5105, 0.5105, 0.2336], [0.1581, 0.4860, 0.1501], [0.9726, 0.9726, 0.7565], [0.0274, 0.0274, 0.2435], [0.7625, 0.7625, 0.1526], [0.2375, 0.2375, 0.8474], [0.3662, 0.3662, 0.2577], [0.6338, 0.6338, 0.7423]],
  "n_ef_per_ev_cell": 0.0
}

(8)
{
  "formula": "La2SBr2O",
  "functional": "PBE-GGA",
  "state": "relaxed",
  "cell": [[-3.0029, -0.7368, -2.7874], [-4.3053, -2.6698, 5.3439], [-4.2510, 10.4782, 1.8100]],
  "species": ["La", "La", "La", "La", "Br", "Br", "Br", "Br", "O", "O", "S", "S"],
  "frac_coords": [[0.5000, 0.3368, 0.4321], [0.5000, 0.8368, 0.5679], [0.0000, 0.2473, 0.7216], [0.0000, 0.7473, 0.2784], [0.5000, 0.3955, 0.8857], [0.0000, 0.3522, 0.2247], [0.0000, 0.8522, 0.7753], [0.5000, 0.8955, 0.1143], [0.5000, 0.6783, 0.3764], [0.5000, 0.1783, 0.6236], [0.0000, 0.0355, 0.4460], [0.0000, 0.5355, 0.5540]],
  "n_ef_per_ev_cell": 0.0
}

(9)
{
  "formula": "LaSeBr2O",
  "functional": "PBE-GGA",
  "state": "relaxed",
  "cell": [[5.0501, 0.0000, 0.0000], [0.0000, 5.0501, 0.0000], [0.0000, 0.0000, 4.3343]],
  "species": ["La", "Br", "Br", "Se", "O"],
  "frac_coords": [[0.5000, 0.5000, 0.5000], [0.0000, 0.5000, 0.0000], [0.5000, 0.0000, 0.0000], [0.0000, 0.0000, 0.5000], [0.0000, 0.0000, 0.0000]],
  "n_ef_per_ev_cell": 2.0
}

(10)
{
  "formula": "LaSeBr2O",
  "functional": "PBE-GGA",
  "state": "relaxed",
  "cell": [[5.7973, 0.0000, 0.0000], [0.0000, 5.7973, 0.0000], [0.0000, 0.0000, 6.0792]],
  "species": ["Se", "O", "La", "Br", "Br"],
  "frac_coords": [[0.0000, 0.0000, 0.5000], [0.5000, 0.5000, 0.5000], [0.0000, 0.0000, 0.0000], [0.5000, 0.0000, 0.0000], [0.0000, 0.5000, 0.0000]],
  "n_ef_per_ev_cell": 8.1
}

(11)
{
  "formula": "LaSeBrO4",
  "functional": "PBE-GGA",
  "state": "relaxed",
  "cell": [[-5.0608, -1.5524, -3.7421], [-2.2060, -5.8735, 1.6312], [-5.3851, 1.6382, 4.1785]],
  "species": ["Br", "Br", "O", "O", "O", "O", "O", "O", "O", "O", "La", "La", "Se", "Se"],
  "frac_coords": [[0.9768, 0.9768, 0.7575], [0.0232, 0.0232, 0.2425], [0.2888, 0.2888, 0.4974], [0.4758, 0.4758, 0.7687], [0.5242, 0.5242, 0.2313], [0.8586, 0.5113, 0.8579], [0.5113, 0.8586, 0.8579], [0.7112, 0.7112, 0.5026], [0.4887, 0.1414, 0.1421], [0.1414, 0.4887, 0.1421], [0.7682, 0.7682, 0.1422], [0.2318, 0.2318, 0.8578], [0.6349, 0.6349, 0.7383], [0.3651, 0.3651, 0.2617]],
  "n_ef_per_ev_cell": 0.0
}

(12)
{
  "formula": "La8Si3Br4O",
  "functional": "PBE-GGA",
  "state": "relaxed",
  "cell": [[-1.5607, 6.1770, -5.4557], [-5.9086, 3.5909, 5.7559], [7.8235, -1.3058, 2.7313]],
  "species": ["Si", "Si", "Si", "La", "La", "La", "La", "La", "La", "La", "La", "Br", "Br", "Br", "Br", "O"],
  "frac_coords": [[0.5000, 0.5000, 0.0000], [0.5000, 0.5000, 0.5000], [0.0000, 0.5000, 0.5000], [0.7801, 0.3004, 0.5603], [0.7388, 0.7164, 0.4776], [0.2612, 0.2836, 0.5224], [0.7598, 0.6996, 0.9797], [0.2199, 0.6996, 0.9797], [0.7801, 0.3004, 0.0203], [0.2402, 0.3004, 0.0203], [0.2199, 0.6996, 0.4397], [0.5000, 0.0000, 0.5000], [0.0000, 0.0000, 0.0000], [0.0000, 0.0000, 0.5000], [0.5000, 0.0000, 0.0000], [0.0000, 0.5000, 0.0000]],
  "n_ef_per_ev_cell": 8.6
}

no.,M_tot (Bohr magnetons per cell),final energy (eV per atom),ΔE_f (raw) (eV per atom)
1,0.00,-7.7323,-3.21
2,1.00,-3.4085,-1.22
3,1.26,-5.7169,-0.94
4,1.11,-5.9122,-1.34
5,4.05,-6.7667,-1.67
6,0.00,-6.1473,-1.31
7,0.00,-6.4741,-2.11
8,0.00,-6.2160,-2.50
9,0.48,-4.0087,-0.67
10,1.49,-3.7097,-0.37
11,0.00,-5.9422,-1.67
12,0.00,-5.5575,-1.35